[1]
A relaxed structure of Na2CrSbTe4, computed with PBE.

Results
Raw formation energy   -0.4492 eV/atom
Theoretical density   5.12 g/cm3
Crystal system   monoclinic
E   -4.068 eV/atom

Cell: 4.243 7.380 7.944 Å, 107.89 90.00 90.00°
Each line ends with the local moment (μB).
Fractional coordinates of all 8 atoms:
Te 0.500 0.266 0.220  -0.05
Na 0.000 0.500 0.500  0.01
Sb 0.000 0.000 0.000  0.03
Cr 0.500 0.500 0.000  3.11
Te 0.500 0.734 0.780  -0.05
Te 0.000 0.711 0.205  -0.10
Te 0.000 0.289 0.795  -0.10
Na 0.500 0.000 0.500  0.00

***

[2]
A relaxed structure of NaCrSbTe2, computed with PBE.

Results
Raw formation energy   0.8947 eV/atom
Energy above the lowest structure with this stoichiometry   0.8616 eV/atom
Theoretical density   4.66 g/cm3
Crystal system   tetragonal
E   -3.375 eV/atom

Cell: 5.510 5.510 5.306 Å, 90.00 90.00 90.00°
Each line ends with the local moment (μB).
Fractional coordinates of all 5 atoms:
Te 0.500 0.000 0.000  -0.12
Sb 0.000 0.000 0.500  -0.12
Te 0.000 0.500 0.000  -0.12
Cr 0.500 0.500 0.500  4.20
Na 0.000 0.000 0.000  0.00

***

[3]
A relaxed structure of Na3ScCr, computed with PBE.

Results
Energy above the lowest structure with this stoichiometry   0.0000 eV/atom
Theoretical density   1.62 g/cm3
Crystal system   cubic
Formation enthalpy at 0 K   1.047 eV per atom
E   -2.935 eV/atom

Cell: 5.543 5.543 5.543 Å, 90.00 90.00 90.00°
Each line ends with the local moment (μB).
Fractional coordinates of all 5 atoms:
Na 0.000 0.000 0.500  0.00
Cr 0.000 0.000 0.000  4.24
Na 0.000 0.500 0.000  0.01
Sc 0.500 0.500 0.500  -0.79
Na 0.500 0.000 0.000  0.02

***

[4]
A relaxed structure of NaScCr3, computed with PBE.

Results
Energy above the lowest structure with this stoichiometry   0.0000 eV/atom
Theoretical density   3.24 g/cm3
Crystal system   cubic
Formation enthalpy at 0 K   1.606 eV per atom
E   -5.698 eV/atom

Cell: 4.859 4.859 4.859 Å, 90.00 90.00 90.00°
Each line ends with the local moment (μB).
Fractional coordinates of all 5 atoms:
Cr 0.500 0.000 0.000  3.55
Sc 0.000 0.000 0.000  -0.21
Cr 0.000 0.000 0.500  2.80
Cr 0.000 0.500 0.000  3.12
Na 0.500 0.500 0.500  -0.01

***

[5]
A relaxed structure of Na3ScCr, computed with PBE.

Results
Energy above the lowest structure with this stoichiometry   0.3233 eV/atom
Theoretical density   1.24 g/cm3
Crystal system   cubic
Formation enthalpy at 0 K   1.371 eV per atom
E   -2.612 eV/atom

Cell: 6.060 6.060 6.060 Å, 90.00 90.00 90.00°
Each line ends with the local moment (μB).
Fractional coordinates of all 5 atoms:
Na 0.000 0.500 0.000  -0.03
Sc 0.000 0.000 0.000  -1.00
Cr 0.500 0.500 0.500  4.32
Na 0.000 0.000 0.500  -0.03
Na 0.500 0.000 0.000  -0.04

***

[6]
A relaxed structure of NaSc2Cr2, computed with PBE.

Results
Theoretical density   3.19 g/cm3
Crystal system   tetragonal
Formation enthalpy at 0 K   0.475 eV per atom
E   -6.171 eV/atom

Cell: 3.270 3.270 10.792 Å, 81.29 81.29 90.00°
Fractional coordinates of all 5 atoms:
Sc 0.643 0.643 0.715
Sc 0.357 0.357 0.285
Cr 0.250 0.750 0.500
Cr 0.750 0.250 0.500
Na 0.000 0.000 0.000

***

[7]
A relaxed structure of Na3Sc3CrSe8, computed with PBE.

Results
Raw formation energy   -1.3225 eV/atom
Theoretical density   4.07 g/cm3
Crystal system   trigonal
E   -5.353 eV/atom

Cell: 7.627 7.628 8.433 Å, 116.90 90.00 119.99°
Each line ends with the local moment (μB).
Fractional coordinates of all 15 atoms:
Se 0.752 0.981 0.709  -0.05
Se 0.260 0.520 0.281  -0.02
Cr 0.000 0.000 0.500  2.77
Sc 0.000 0.500 0.500  0.01
Se 0.740 0.480 0.719  -0.02
Se 0.248 0.019 0.291  -0.05
Na 0.500 0.500 0.000  0.00
Se 0.771 0.019 0.291  -0.05
Na 0.000 0.500 0.000  0.00
Se 0.229 0.458 0.709  -0.05
Sc 0.500 0.500 0.500  0.01
Se 0.771 0.542 0.291  -0.05
Se 0.229 0.981 0.709  -0.05
Sc 0.500 0.000 0.500  0.01
Na 0.000 0.000 0.000  0.00

***

[8]
A relaxed structure of Na3ScCr2Se6, computed with PBE.

Results
Raw formation energy   -1.0534 eV/atom
Theoretical density   4.38 g/cm3
Crystal system   monoclinic
E   -5.257 eV/atom

Cell: 6.608 6.608 7.272 Å, 98.72 98.72 119.96°
Each line ends with the local moment (μB).
Fractional coordinates of all 12 atoms:
Se 0.069 0.418 0.207  -0.07
Na 0.164 0.836 0.500  0.00
Na 0.836 0.164 0.500  0.00
Sc 0.000 0.000 0.000  0.04
Se 0.418 0.069 0.207  -0.07
Cr 0.667 0.333 0.000  2.98
Se 0.582 0.931 0.793  -0.07
Cr 0.333 0.667 0.000  2.98
Na 0.500 0.500 0.500  0.00
Se 0.280 0.280 0.793  -0.07
Se 0.931 0.582 0.793  -0.07
Se 0.720 0.720 0.207  -0.07

***

[9]
A relaxed structure of Na2ScCrSe4, computed with PBE.

Results
Raw formation energy   -1.1740 eV/atom
Theoretical density   4.28 g/cm3
Crystal system   monoclinic
E   -5.240 eV/atom

Cell: 3.864 6.640 7.298 Å, 107.95 90.00 90.00°
Each line ends with the local moment (μB).
Fractional coordinates of all 8 atoms:
Se 0.000 0.278 0.795  -0.07
Sc 0.000 0.000 0.000  0.03
Se 0.500 0.250 0.215  -0.03
Na 0.500 0.000 0.500  0.00
Na 0.000 0.500 0.500  0.00
Se 0.500 0.750 0.785  -0.03
Cr 0.500 0.500 0.000  2.99
Se 0.000 0.722 0.205  -0.07

***

[10]
A relaxed structure of NaScCr2Si, computed with PBE.

Results
Raw formation energy   0.6411 eV/atom
Theoretical density   3.01 g/cm3
Crystal system   tetragonal
E   -5.823 eV/atom

Cell: 4.650 5.110 4.650 Å, 90.00 90.00 90.00°
Each line ends with the local moment (μB).
Fractional coordinates of all 5 atoms:
Na 0.500 0.500 0.500  -0.03
Si 0.000 0.000 0.000  -0.12
Cr 0.500 0.000 0.000  2.90
Cr 0.000 0.000 0.500  3.08
Sc 0.000 0.500 0.000  -0.52

***

[11]
A relaxed structure of Na3ScCr2Te6, computed with PBE.

Results
Raw formation energy   -0.7144 eV/atom
Theoretical density   4.95 g/cm3
Crystal system   monoclinic
E   -4.746 eV/atom

Cell: 7.128 7.128 7.864 Å, 98.68 98.68 119.98°
Each line ends with the local moment (μB).
Fractional coordinates of all 12 atoms:
Cr 0.333 0.667 0.000  3.08
Te 0.069 0.419 0.206  -0.09
Na 0.838 0.162 0.500  0.00
Cr 0.667 0.333 0.000  3.08
Te 0.281 0.281 0.794  -0.09
Te 0.719 0.719 0.206  -0.09
Te 0.581 0.931 0.794  -0.09
Na 0.162 0.838 0.500  0.00
Sc 0.000 0.000 0.000  0.04
Te 0.931 0.581 0.794  -0.09
Te 0.419 0.069 0.206  -0.09
Na 0.500 0.500 0.500  0.00

***

[12]
A relaxed structure of Na3Cr5Se12, computed with PBE.

Results
Raw formation energy   -0.4543 eV/atom
Theoretical density   4.45 g/cm3
Crystal system   cubic
E   -5.149 eV/atom

Cell: 13.528 13.528 13.528 Å, 109.47 109.47 109.47°
Each line ends with the local moment (μB).
Fractional coordinates of all 80 atoms:
Na 0.375 0.750 0.625  0.00
Se 0.295 0.401 0.813  -0.18
Cr 0.875 0.250 0.625  1.75
Na 0.750 0.375 0.125  0.00
Se 0.981 0.394 0.295  -0.18
Se 0.705 0.106 0.019  -0.18
Se 0.187 0.099 0.705  -0.18
Se 0.313 0.795 0.401  -0.18
Se 0.587 0.981 0.687  -0.18
Se 0.394 0.413 0.099  -0.18
Se 0.394 0.981 0.795  -0.18
Se 0.981 0.587 0.187  -0.18
Cr 0.375 0.250 0.125  1.75
Se 0.401 0.106 0.587  -0.18
Cr 0.250 0.375 0.625  1.75
Cr 0.625 0.875 0.250  1.75
Na 0.875 0.125 0.250  0.00
Se 0.813 0.901 0.295  -0.18
Cr 0.625 0.750 0.875  1.75
Cr 0.125 0.750 0.375  1.75
Se 0.687 0.205 0.599  -0.18
Cr 0.750 0.125 0.875  1.75
Cr 0.000 0.000 0.500  2.91
Na 0.625 0.250 0.375  0.00
Se 0.599 0.894 0.413  -0.18
Cr 0.375 0.125 0.750  1.75
Se 0.813 0.913 0.019  -0.18
Se 0.087 0.187 0.481  -0.18
Se 0.106 0.705 0.519  -0.18
Se 0.606 0.019 0.205  -0.18
Se 0.019 0.606 0.705  -0.18
Se 0.019 0.413 0.813  -0.18
Se 0.295 0.894 0.981  -0.18
Se 0.587 0.606 0.401  -0.18
Se 0.087 0.901 0.106  -0.18
Cr 0.500 0.500 0.000  2.91
Cr 0.500 0.000 0.000  2.91
Cr 0.000 0.500 0.000  2.91
Se 0.401 0.295 0.313  -0.18
Se 0.913 0.813 0.519  -0.18
Cr 0.750 0.625 0.375  1.75
Se 0.313 0.519 0.413  -0.18
Cr 0.000 0.000 0.000  2.91
Se 0.599 0.705 0.687  -0.18
Cr 0.250 0.875 0.125  1.75
Na 0.125 0.875 0.750  0.00
Se 0.894 0.295 0.481  -0.18
Na 0.250 0.625 0.875  0.00
Na 0.375 0.625 0.250  0.00
Cr 0.875 0.625 0.750  1.75
Na 0.750 0.875 0.625  0.00
Se 0.795 0.313 0.901  -0.18
Se 0.187 0.087 0.981  -0.18
Cr 0.125 0.375 0.250  1.75
Cr 0.500 0.000 0.500  2.91
Se 0.901 0.813 0.795  -0.18
Na 0.875 0.750 0.125  0.00
Na 0.625 0.375 0.750  0.00
Se 0.481 0.687 0.087  -0.18
Se 0.705 0.599 0.187  -0.18
Cr 0.500 0.500 0.500  2.91
Cr 0.000 0.500 0.500  2.91
Na 0.250 0.125 0.375  0.00
Se 0.099 0.187 0.205  -0.18
Se 0.519 0.205 0.106  -0.18
Se 0.894 0.599 0.913  -0.18
Se 0.901 0.087 0.606  -0.18
Se 0.106 0.401 0.087  -0.18
Se 0.205 0.519 0.606  -0.18
Se 0.606 0.587 0.901  -0.18
Se 0.795 0.481 0.394  -0.18
Na 0.125 0.250 0.875  0.00
Se 0.413 0.394 0.599  -0.18
Se 0.205 0.687 0.099  -0.18
Se 0.481 0.795 0.894  -0.18
Se 0.913 0.099 0.894  -0.18
Se 0.413 0.019 0.313  -0.18
Se 0.519 0.313 0.913  -0.18
Se 0.099 0.913 0.394  -0.18
Se 0.687 0.481 0.587  -0.18

***

[13]
A relaxed structure of NaCr2Se, computed with PBE.

Results
Raw formation energy   0.7516 eV/atom
Energy above the lowest structure with this stoichiometry   0.1609 eV/atom
Theoretical density   5.55 g/cm3
Crystal system   cubic
E   -5.261 eV/atom

Cell: 4.432 4.432 4.432 Å, 60.00 60.00 60.00°
Each line ends with the local moment (μB).
Fractional coordinates of all 4 atoms:
Cr 0.250 0.250 0.250  2.42
Cr 0.750 0.750 0.750  2.42
Se 0.500 0.500 0.500  -0.09
Na 0.000 0.000 0.000  0.01

***

[14]
A relaxed structure of Na2Cr3Se6, computed with PBE.

Results
Raw formation energy   -0.7227 eV/atom
Theoretical density   4.54 g/cm3
Crystal system   monoclinic
E   -5.488 eV/atom

Cell: 6.335 6.335 7.421 Å, 81.81 81.82 120.00°
Each line ends with the local moment (μB).
Fractional coordinates of all 11 atoms:
Se 0.601 0.934 0.198  -0.16
Se 0.267 0.267 0.199  -0.15
Na 0.833 0.167 0.500  0.00
Se 0.399 0.066 0.802  -0.16
Se 0.934 0.601 0.198  -0.16
Cr 0.334 0.666 0.000  2.89
Cr 0.000 0.000 0.000  2.89
Se 0.733 0.733 0.801  -0.15
Na 0.167 0.833 0.500  0.00
Cr 0.666 0.334 0.000  2.89
Se 0.066 0.399 0.802  -0.16

***

[15]
A relaxed structure of NaCr3Se, computed with PBE.

Results
Raw formation energy   1.7265 eV/atom
Energy above the lowest structure with this stoichiometry   0.9377 eV/atom
Theoretical density   3.41 g/cm3
Crystal system   cubic
E   -5.008 eV/atom

Cell: 5.006 5.006 5.006 Å, 90.00 90.00 90.00°
Each line ends with the local moment (μB).
Fractional coordinates of all 5 atoms:
Se 0.500 0.500 0.500  -0.08
Cr 0.000 0.000 0.500  4.18
Cr 0.500 0.000 0.000  4.21
Cr 0.000 0.500 0.000  4.21
Na 0.000 0.000 0.000  0.07

***

[16]
A relaxed structure of Na3Cr11Se20, computed with PBE.

Results
Raw formation energy   -0.5644 eV/atom
Theoretical density   5.01 g/cm3
Crystal system   monoclinic
E   -5.844 eV/atom

Cell: 3.658 12.926 15.871 Å, 84.92 83.38 81.86°
Each line ends with the local moment (μB).
Fractional coordinates of all 34 atoms:
Na 0.742 0.997 0.518  0.00
Se 0.916 0.605 0.563  -0.14
Cr 0.398 0.714 0.489  2.92
Se 0.472 0.847 0.209  -0.19
Se 0.322 0.172 0.184  -0.20
Se 0.131 0.161 0.578  -0.11
Se 0.278 0.835 0.609  -0.13
Se 0.513 0.184 0.791  -0.35
Cr 0.196 0.719 0.889  2.85
Se 0.086 0.386 0.442  -0.13
Cr 0.593 0.724 0.091  2.89
Se 0.316 0.612 0.756  -0.11
Cr 0.794 0.730 0.682  2.97
Se 0.919 0.179 0.984  -0.15
Se 0.115 0.612 0.159  -0.14
Se 0.713 0.615 0.960  -0.23
Se 0.284 0.392 0.040  -0.21
Se 0.676 0.834 0.813  -0.12
Cr 0.210 0.262 0.318  2.87
Se 0.874 0.404 0.848  -0.24
Cr 0.992 0.742 0.273  2.88
Cr 0.609 0.271 0.511  2.84
Se 0.883 0.822 0.413  -0.14
Se 0.515 0.616 0.354  -0.11
Cr 0.910 0.480 0.699  2.79
Cr 0.099 0.499 0.302  3.00
Se 0.728 0.160 0.384  -0.17
Cr 0.401 0.290 0.908  2.58
Se 0.489 0.370 0.653  -0.27
Se 0.078 0.830 0.014  -0.14
Na 0.122 0.018 0.738  0.00
Na 0.519 0.004 0.957  0.00
Se 0.685 0.387 0.243  -0.10
Cr 0.804 0.281 0.110  2.78

***

[17]
A relaxed structure of NaCr2Se4, computed with PBE.

Results
Raw formation energy   -0.6714 eV/atom
Energy above the lowest structure with this stoichiometry   0.0000 eV/atom
Theoretical density   4.52 g/cm3
Crystal system   monoclinic
E   -5.601 eV/atom

Cell: 3.627 6.196 7.242 Å, 89.62 90.00 90.00°
Each line ends with the local moment (μB).
Fractional coordinates of all 7 atoms:
Cr 0.000 0.000 0.000  2.82
Cr 0.500 0.500 0.000  2.78
Na 0.000 0.000 0.500  0.00
Se 0.000 0.338 0.803  -0.18
Se 0.500 0.164 0.198  -0.16
Se 0.500 0.836 0.802  -0.16
Se 0.000 0.662 0.197  -0.18

***

[18]
A relaxed structure of Na2CrSe2, computed with PBE.

Results
Raw formation energy   -0.2812 eV/atom
Theoretical density   4.13 g/cm3
Crystal system   tetragonal
E   -4.127 eV/atom

Cell: 6.675 6.675 4.620 Å, 90.00 90.00 90.00°
Each line ends with the local moment (μB).
Fractional coordinates of all 10 atoms:
Cr 0.000 0.000 0.000  0.09
Na 0.155 0.655 0.500  0.00
Se 0.674 0.174 0.000  0.02
Na 0.655 0.845 0.500  0.00
Se 0.174 0.326 0.000  0.00
Na 0.345 0.155 0.500  0.00
Se 0.326 0.826 0.000  0.02
Cr 0.500 0.500 0.000  0.08
Na 0.845 0.345 0.500  0.00
Se 0.826 0.674 0.000  0.00

***

[19]
A relaxed structure of NaCr3Se, computed with PBE.

Results
Raw formation energy   0.7888 eV/atom
Energy above the lowest structure with this stoichiometry   0.0000 eV/atom
Theoretical density   3.49 g/cm3
Crystal system   cubic
E   -5.946 eV/atom

Cell: 4.971 4.971 4.971 Å, 90.00 90.00 90.00°
Each line ends with the local moment (μB).
Fractional coordinates of all 5 atoms:
Na 0.500 0.500 0.500  -0.03
Se 0.000 0.000 0.000  -0.09
Cr 0.000 0.000 0.500  3.95
Cr 0.500 0.000 0.000  3.86
Cr 0.000 0.500 0.000  3.86